Zr2ScTaNi: relaxed, GGA-PBE.

Structure (CIF):
```
data_Zr2ScTaNi
_chemical_formula_sum 'Zr2 Sc1 Ta1 Ni1'
_space_group_name_H-M_alt 'P 1'
_space_group_IT_number 1
_cell_length_a 4.991
_cell_length_b 4.207
_cell_length_c 4.991
_cell_angle_alpha 90.00
_cell_angle_beta 90.00
_cell_angle_gamma 90.00
loop_
_space_group_symop_operation_xyz
'x,y,z'
loop_
_atom_site_label
_atom_site_type_symbol
_atom_site_fract_x
_atom_site_fract_y
_atom_site_fract_z
Sc1 Sc 0.000 0.000 0.000
Ni1 Ni 0.000 0.500 0.000
Zr1 Zr 0.000 0.000 0.500
Zr2 Zr 0.500 0.000 0.000
Ta1 Ta 0.500 0.500 0.500
```

Computed properties:
Formation enthalpy at 0 K (meV per atom): 1167
Fermi-level density of states (states/eV per atom): 0.9347